w:
# Ba2YFe

A relaxed structure of Ba2YFe (PBE-GGA, Alexandria via LeMat-Bulk).

Values from the calculation:
Total moment in μB per cell: 0.0
DOS(E_F) in states/eV per cell: 8.7
Space group: No. 225

Cell and atoms, written as POSCAR:
```
Ba2YFe
1.0
0.000 4.013 4.013
4.013 0.000 4.013
4.013 4.013 0.000
Y Ba Fe
1 2 1
direct
0.500 0.500 0.500
0.250 0.250 0.250
0.750 0.750 0.750
0.000 0.000 0.000
```


x:
# Ba2YFe

A relaxed structure of Ba2YFe (PBE-GGA, Alexandria via LeMat-Bulk).

Values from the calculation:
Total moment in μB per cell: 1.3
DOS(E_F) in states/eV per cell: 6.4
Space group: No. 44

Cell and atoms, written as POSCAR:
```
Ba2YFe
1.0
7.138 0.084 -0.021
3.191 6.385 0.021
-4.269 -4.663 3.314
Ba Fe Y
2 1 1
direct
0.006 0.006 0.000
0.691 0.191 0.500
0.479 0.479 0.000
0.324 0.824 0.500
```


Stability check: which of them is least stable? w.